Here is CsTi3F9 after structural relaxation from Alexandria. Energies are from PBE.

Fermi-level density of states ... 9.600 states/eV/f.u.
E_form (uncorrected) ... -41.57 eV/f.u.
Calculated density ... 3.54 g/cm³

Geometry as POSCAR:
```
CsTi3F9
1.0
7.776 0.000 0.000
-3.888 6.734 0.000
0.000 0.000 4.003
Cs Ti F
1 3 9
Direct
0.000 0.000 0.000
0.000 0.500 0.500
0.500 0.000 0.500
0.500 0.500 0.500
0.000 0.500 0.000
0.207 0.414 0.500
0.207 0.793 0.500
0.414 0.207 0.500
0.500 0.000 0.000
0.500 0.500 0.000
0.586 0.793 0.500
0.793 0.207 0.500
0.793 0.586 0.500
```

---

Here is LiSmAl2Ga4 after structural relaxation from Alexandria. Energies are from PBE.

Fermi-level density of states ... 3.256 states/eV/f.u.
Calculated density ... 5.43 g/cm³
Formation energy ... -0.257 eV per atom

Geometry as POSCAR:
```
LiSmAl2Ga4
1.0
2.247 1.298 8.565
-2.247 1.298 8.565
0.000 -2.595 8.565
Li Sm Al Ga
1 1 2 4
Direct
0.000 0.000 0.000
0.500 0.500 0.500
0.257 0.257 0.257
0.743 0.743 0.743
0.103 0.103 0.103
0.369 0.369 0.369
0.631 0.631 0.631
0.897 0.897 0.897
```

---

Here is Li2SmSc3Te6 after structural relaxation from Alexandria. Energies are from PBE.

Fermi-level density of states ... 4.410 states/eV/f.u.
E_form (uncorrected) ... -14.57 eV/f.u.
Calculated density ... 5.49 g/cm³

Geometry as POSCAR:
```
Li2SmSc3Te6
1.0
3.639 -6.299 0.000
3.639 6.299 0.000
-2.449 0.000 7.023
Li Sm Sc Te
2 1 3 6
Direct
0.170 0.830 0.000
0.830 0.170 0.000
0.500 0.500 0.000
0.000 0.000 0.500
0.339 0.661 0.500
0.661 0.339 0.500
0.070 0.414 0.740
0.239 0.239 0.255
0.414 0.070 0.740
0.586 0.930 0.260
0.761 0.761 0.745
0.930 0.586 0.260
```

---

Here is Cr2MoAs after structural relaxation from Alexandria. Energies are from PBE.

Fermi-level density of states ... 5.567 states/eV/f.u.
Calculated density ... 8.12 g/cm³
Formation energy ... 0.331 eV per atom

Geometry as POSCAR:
```
Cr2MoAs
1.0
2.854 0.000 0.000
-1.427 2.472 0.000
0.000 0.000 23.902
Cr Mo As
6 3 3
Direct
0.000 0.000 0.000
0.000 0.000 0.263
0.333 0.667 0.667
0.333 0.667 0.930
0.667 0.333 0.333
0.667 0.333 0.596
0.000 0.000 0.507
0.333 0.667 0.174
0.667 0.333 0.841
0.000 0.000 0.750
0.333 0.667 0.416
0.667 0.333 0.083
```

---

Here is RuPb2Cl after structural relaxation from Alexandria. Energies are from PBE.

Fermi-level density of states ... 2.340 states/eV/f.u.
E_form (uncorrected) ... 0.12 eV/f.u.
Calculated density ... 10.06 g/cm³
Relative energy among the computed polymorphs ... 14 meV per atom

Geometry as POSCAR:
```
RuPb2Cl
1.0
3.388 0.000 0.000
0.000 3.388 0.000
0.000 0.000 7.925
Ru Pb Cl
1 2 1
Direct
0.000 0.000 0.000
0.500 0.500 0.214
0.500 0.500 0.786
0.000 0.000 0.500
```

---

Here is SrAcH3 after structural relaxation from Alexandria. Energies are from PBE.

Fermi-level density of states ... 2.609 states/eV/f.u.
Calculated density ... 4.87 g/cm³
E ... -3.3826 eV per atom

Geometry as POSCAR:
```
SrAcH3
1.0
4.767 0.000 0.000
0.000 4.767 0.000
0.000 0.000 4.767
Sr Ac H
1 1 3
Direct
0.000 0.000 0.000
0.500 0.500 0.500
0.000 0.500 0.500
0.500 0.000 0.500
0.500 0.500 0.000
```

---

Here is Th4C2SN after structural relaxation from Alexandria. Energies are from PBE.

Fermi-level density of states ... 3.604 states/eV/f.u.
E_form (uncorrected) ... -8.01 eV/f.u.
Calculated density ... 10.38 g/cm³

Geometry as POSCAR:
```
Th4C2SN
1.0
6.661 0.000 0.000
0.000 3.809 0.000
-2.187 0.000 6.296
Th C S N
4 2 1 1
Direct
0.229 0.000 0.229
0.240 0.500 0.760
0.760 0.500 0.240
0.771 0.000 0.771
0.000 0.000 0.500
0.000 0.500 0.000
0.500 0.500 0.500
0.500 0.000 0.000
```

---

Here is PmTmV4 after structural relaxation from Alexandria. Energies are from PBE.

Fermi-level density of states ... 12.663 states/eV/f.u.
Calculated density ... 7.79 g/cm³
Formation energy ... 0.369 eV per atom

Geometry as POSCAR:
```
PmTmV4
1.0
0.000 3.808 3.808
3.808 0.000 3.808
3.808 3.808 0.000
Pm Tm V
1 1 4
Direct
0.000 0.000 0.000
0.750 0.750 0.750
0.379 0.379 0.379
0.379 0.379 0.862
0.379 0.862 0.379
0.862 0.379 0.379
```

---

Here is AcLaSi after structural relaxation from Alexandria. Energies are from PBE.

Fermi-level density of states ... 1.870 states/eV/f.u.
E_form (uncorrected) ... -0.80 eV/f.u.
Calculated density ... 6.91 g/cm³
Relative energy among the computed polymorphs ... 199 meV per atom

Geometry as POSCAR:
```
AcLaSi
1.0
4.879 0.000 0.000
-2.440 4.226 0.000
0.000 0.000 4.591
Ac La Si
1 1 1
Direct
0.000 0.000 0.000
0.333 0.667 0.448
0.667 0.333 0.657
```

---

Here is Y2ErTl after structural relaxation from Alexandria. Energies are from PBE.

Fermi-level density of states ... 5.387 states/eV/f.u.
Calculated density ... 7.63 g/cm³
Relative energy among the computed polymorphs ... 10 meV per atom
Formation energy ... -0.175 eV per atom

Geometry as POSCAR:
```
Y2ErTl
1.0
3.619 0.000 0.000
0.000 3.619 0.000
0.000 0.000 9.129
Y Er Tl
2 1 1
Direct
0.000 0.000 0.230
0.000 0.000 0.770
0.500 0.500 0.500
0.500 0.500 0.000
```

---

Here is HgTe3N after structural relaxation from Alexandria. Energies are from PBE.

Fermi-level density of states ... 3.526 states/eV/f.u.
E_form (uncorrected) ... 3.64 eV/f.u.
Calculated density ... 8.61 g/cm³
Relative energy among the computed polymorphs ... 0 meV per atom

Geometry as POSCAR:
```
HgTe3N
1.0
4.865 0.000 0.000
0.000 4.865 0.000
0.000 0.000 4.865
Hg Te N
1 3 1
Direct
0.000 0.000 0.000
0.000 0.500 0.500
0.500 0.000 0.500
0.500 0.500 0.000
0.500 0.500 0.500
```

---

Here is AcDyYHo3 after structural relaxation from Alexandria. Energies are from PBE.

Fermi-level density of states ... 8.889 states/eV/f.u.
Calculated density ... 7.69 g/cm³
Formation energy ... 0.249 eV per atom

Geometry as POSCAR:
```
AcDyYHo3
1.0
9.837 -2.812 0.000
9.837 2.812 0.000
-0.083 0.000 7.599
Ac Dy Y Ho
2 2 2 6
Direct
0.139 0.139 0.023
0.861 0.861 0.977
0.154 0.154 0.449
0.846 0.846 0.551
0.446 0.446 0.692
0.554 0.554 0.308
0.025 0.025 0.700
0.279 0.279 0.752
0.335 0.335 0.292
0.665 0.665 0.708
0.721 0.721 0.248
0.975 0.975 0.300
```

---

Here is NdHo4Sc4 after structural relaxation from Alexandria. Energies are from PBE.

Fermi-level density of states ... 15.931 states/eV/f.u.
Calculated density ... 6.04 g/cm³
Relative energy among the computed polymorphs ... 212 meV per atom
Formation energy ... 0.267 eV per atom

Geometry as POSCAR:
```
NdHo4Sc4
1.0
6.775 0.000 0.000
0.000 6.775 0.000
0.000 0.000 11.786
Nd Ho Sc
2 8 8
Direct
0.250 0.750 0.250
0.750 0.250 0.750
0.010 0.250 0.025
0.250 0.010 0.525
0.250 0.490 0.525
0.490 0.250 0.025
0.510 0.750 0.975
0.750 0.510 0.475
0.750 0.990 0.475
0.990 0.750 0.975
0.031 0.250 0.307
0.250 0.031 0.807
0.250 0.469 0.807
0.469 0.250 0.307
0.531 0.750 0.693
0.750 0.531 0.193
0.750 0.969 0.193
0.969 0.750 0.693
```

---

Here is LiNp2In9 after structural relaxation from Alexandria. Energies are from PBE.

Fermi-level density of states ... 23.265 states/eV/f.u.
Calculated density ... 8.55 g/cm³
Formation energy ... -0.035 eV per atom

Geometry as POSCAR:
```
LiNp2In9
1.0
4.608 0.000 0.000
0.000 4.608 0.000
0.000 0.000 13.851
Li Np In
1 2 9
Direct
0.000 0.000 0.000
0.000 0.000 0.329
0.000 0.000 0.671
0.000 0.500 0.159
0.000 0.500 0.500
0.000 0.500 0.841
0.500 0.000 0.159
0.500 0.000 0.500
0.500 0.000 0.841
0.500 0.500 0.000
0.500 0.500 0.335
0.500 0.500 0.665
```

---

Here is InSiPt2Au after structural relaxation from Alexandria. Energies are from PBE.

Fermi-level density of states ... 3.497 states/eV/f.u.
E_form (uncorrected) ... 0.45 eV/f.u.
Calculated density ... 11.96 g/cm³

Geometry as POSCAR:
```
InSiPt2Au
1.0
4.618 0.000 0.000
0.000 4.618 0.000
0.000 0.000 4.751
In Si Pt Au
1 1 2 1
Direct
0.000 0.000 0.000
0.500 0.500 0.500
0.000 0.500 0.500
0.500 0.000 0.500
0.500 0.500 0.000
```

---

Here is ThTi3H after structural relaxation from Alexandria. Energies are from PBE.

Fermi-level density of states ... 5.867 states/eV/f.u.
Calculated density ... 7.59 g/cm³
E ... -6.8356 eV per atom

Geometry as POSCAR:
```
ThTi3H
1.0
4.351 0.000 0.000
0.000 4.351 0.000
0.000 0.000 4.351
Th Ti H
1 3 1
Direct
0.000 0.000 0.000
0.000 0.500 0.500
0.500 0.000 0.500
0.500 0.500 0.000
0.500 0.500 0.500
```

---

Here is SrLaC2S after structural relaxation from Alexandria. Energies are from PBE.

Fermi-level density of states ... 3.709 states/eV/f.u.
E_form (uncorrected) ... 5.99 eV/f.u.
Calculated density ... 1.78 g/cm³

Geometry as POSCAR:
```
SrLaC2S
1.0
4.432 0.000 0.000
0.000 4.432 0.000
0.000 0.000 13.405
Sr La C S
1 1 2 1
Direct
0.000 0.000 0.000
0.000 0.000 0.500
0.000 0.500 0.500
0.500 0.000 0.500
0.500 0.500 0.000
```

---

Here is PuUTi2 after structural relaxation from Alexandria. Energies are from PBE.

Fermi-level density of states ... 10.060 states/eV/f.u.
Calculated density ... 12.34 g/cm³
Formation energy ... 0.206 eV per atom

Geometry as POSCAR:
```
PuUTi2
1.0
2.853 0.000 0.000
0.000 2.853 0.000
0.000 0.000 9.555
Pu U Ti
1 1 2
Direct
0.000 0.000 0.000
0.000 0.000 0.500
0.500 0.500 0.253
0.500 0.500 0.747
```

---

Here is Mn3B8Mo3 after structural relaxation from Alexandria. Energies are from PBE.

Fermi-level density of states ... 5.997 states/eV/f.u.
Calculated density ... 7.20 g/cm³
Formation energy ... -0.443 eV per atom

Geometry as POSCAR:
```
Mn3B8Mo3
1.0
3.037 0.000 0.000
0.000 3.109 0.000
0.000 0.000 13.175
Mn B Mo
3 8 3
Direct
0.000 0.000 0.000
0.000 0.000 0.363
0.500 0.500 0.876
0.000 0.000 0.549
0.000 0.000 0.838
0.000 0.500 0.111
0.000 0.500 0.251
0.500 0.000 0.625
0.500 0.000 0.765
0.500 0.500 0.037
0.500 0.500 0.324
0.000 0.500 0.693
0.500 0.000 0.181
0.500 0.500 0.498
```

---

Here is TiSiHSe2 after structural relaxation from Alexandria. Energies are from PBE.

Fermi-level density of states ... 4.915 states/eV/f.u.
Calculated density ... 5.22 g/cm³
E ... -4.5828 eV per atom

Geometry as POSCAR:
```
TiSiHSe2
1.0
4.808 0.000 0.000
0.000 4.808 0.000
0.000 0.000 3.230
Ti Si H Se
1 1 1 2
Direct
0.000 0.000 0.000
0.500 0.500 0.000
0.500 0.500 0.500
0.000 0.500 0.500
0.500 0.000 0.500
```

---

Here is HoPaTcOs after structural relaxation from Alexandria. Energies are from PBE.

Fermi-level density of states ... 3.261 states/eV/f.u.
Calculated density ... 14.10 g/cm³
Formation energy ... -0.226 eV per atom

Geometry as POSCAR:
```
HoPaTcOs
1.0
6.856 0.000 0.000
0.000 6.856 0.000
0.000 0.000 6.856
Ho Pa Tc Os
4 4 4 4
Direct
0.000 0.000 0.000
0.000 0.500 0.500
0.500 0.000 0.500
0.500 0.500 0.000
0.000 0.000 0.500
0.000 0.500 0.000
0.500 0.000 0.000
0.500 0.500 0.500
0.250 0.250 0.250
0.250 0.750 0.750
0.750 0.250 0.750
0.750 0.750 0.250
0.250 0.250 0.750
0.250 0.750 0.250
0.750 0.250 0.250
0.750 0.750 0.750
```

---

Here is Tl2AgBiI6 after structural relaxation from Alexandria. Energies are from PBE.

Fermi-level density of states ... 0.000 states/eV/f.u.
E_form (uncorrected) ... -4.78 eV/f.u.
Calculated density ... 6.09 g/cm³

Geometry as POSCAR:
```
Tl2AgBiI6
1.0
8.073 0.000 0.000
0.000 8.652 0.000
-7.998 0.000 11.616
Tl Ag Bi I
4 2 2 12
Direct
0.209 0.098 0.246
0.209 0.402 0.746
0.791 0.598 0.254
0.791 0.902 0.754
0.000 0.000 0.500
0.000 0.500 0.000
0.500 0.000 0.000
0.500 0.500 0.500
0.130 0.193 0.946
0.130 0.307 0.446
0.261 0.692 0.948
0.261 0.808 0.448
0.359 0.021 0.744
0.359 0.479 0.244
0.641 0.521 0.756
0.641 0.979 0.256
0.739 0.192 0.552
0.739 0.308 0.052
0.870 0.693 0.554
0.870 0.807 0.054
```

---

Here is La8MgSc2 after structural relaxation from Alexandria. Energies are from PBE.

Fermi-level density of states ... 19.291 states/eV/f.u.
Calculated density ... 5.46 g/cm³
Formation energy ... 0.090 eV per atom

Geometry as POSCAR:
```
La8MgSc2
1.0
-2.812 3.863 8.584
2.812 -3.863 8.584
2.812 3.863 -8.584
La Mg Sc
8 1 2
Direct
0.158 0.363 0.795
0.174 0.174 0.000
0.278 0.000 0.278
0.432 0.637 0.795
0.568 0.363 0.205
0.722 0.000 0.722
0.826 0.826 0.000
0.842 0.637 0.205
0.000 0.500 0.500
0.304 0.804 0.500
0.696 0.196 0.500
```

---

Here is YNbInMo2 after structural relaxation from Alexandria. Energies are from PBE.

Fermi-level density of states ... 6.736 states/eV/f.u.
Calculated density ... 6.69 g/cm³
Formation energy ... 1.012 eV per atom

Geometry as POSCAR:
```
YNbInMo2
1.0
4.767 0.000 0.000
0.000 4.767 0.000
0.000 0.000 5.336
Y Nb In Mo
1 1 1 2
Direct
0.000 0.000 0.000
0.500 0.500 0.500
0.500 0.500 0.000
0.000 0.500 0.500
0.500 0.000 0.500
```

---

Here is Ba6RhF after structural relaxation from Alexandria. Energies are from PBE.

Fermi-level density of states ... 8.035 states/eV/f.u.
E_form (uncorrected) ... -6.05 eV/f.u.
Calculated density ... 4.09 g/cm³

Geometry as POSCAR:
```
Ba6RhF
1.0
7.903 0.000 0.000
0.000 13.306 0.000
-3.027 0.000 7.299
Ba Rh F
12 2 2
Direct
0.235 0.000 0.262
0.239 0.347 0.244
0.239 0.653 0.244
0.261 0.153 0.756
0.261 0.847 0.756
0.265 0.500 0.738
0.735 0.500 0.262
0.739 0.153 0.244
0.739 0.847 0.244
0.761 0.347 0.756
0.761 0.653 0.756
0.765 0.000 0.738
0.000 0.000 0.500
0.500 0.500 0.500
0.000 0.500 0.000
0.500 0.000 0.000
```